Record 1
DFT (PBE-GGA) results for a relaxed structure of Pd13Pb2.

## Properties
energy of formation: 0.225 eV per atom
crystal system: trigonal

Cell: 7.3758 7.3758 20.0480 Å, 90.00 90.00 120.00°
With the nearest neighbours (Å) after each atom.
Space group R-3m (No. 166, hexagonal axes)
Inequivalent atoms, fractional coordinates:
Pd  0.0000  0.0000  0.0000 [3 per cell]  12 Pd 2.65-2.73
Pd  0.0848  0.5424  0.5607 [18 per cell]  7 Pd 2.65-2.87, 1 Pb 2.67
Pd  0.0880  0.5440  0.3103 [18 per cell]  8 Pd 2.71-2.87, 1 Pb 2.93
Pb  0.0000  0.0000  0.2331 [6 per cell]  6 Pd 2.67-2.93

Record 2
DFT (PBE-GGA) results for a relaxed structure of PdPb.

## Properties
energy of formation: -0.257 eV per atom
crystal system: triclinic

Cell: 5.6890 5.7041 21.7460 Å, 95.89 95.92 100.66°
With the nearest neighbours (Å) after each atom.
Space group P-1 (No. 2)
Inequivalent atoms, fractional coordinates:
Pd  0.0218  0.2637  0.2081 [2 per cell]  3 Pd 2.87-3.12, 7 Pb 2.91-3.11
Pd  0.0984  0.8613  0.5440 [2 per cell]  3 Pd 2.86-3.12, 6 Pb 2.87-2.95
Pd  0.1421  0.3862  0.9577 [2 per cell]  3 Pd 2.86-3.10, 7 Pb 2.91-3.14
Pd  0.2626  0.5044  0.7089 [2 per cell]  3 Pd 2.85-3.10, 7 Pb 2.91-3.11
Pd  0.3195  0.5801  0.4591 [2 per cell]  3 Pd 2.86-3.12, 7 Pb 2.91-3.07
Pd  0.3201  0.0629  0.2944 [2 per cell]  3 Pd 2.87-3.10, 6 Pb 2.88-2.97
Pd  0.4386  0.1804  0.0427 [2 per cell]  3 Pd 2.86-3.10, 6 Pb 2.88-2.98
Pd  0.4398  0.7040  0.2075 [2 per cell]  3 Pd 2.85-3.12, 6 Pb 2.88-2.96
Pb  0.0586  0.2654  0.8198 [2 per cell]  6 Pd 2.88-3.11
Pb  0.0634  0.8565  0.9305 [2 per cell]  6 Pd 2.88-3.14
Pb  0.1819  0.3897  0.5735 [2 per cell]  7 Pd 2.91-2.97
Pb  0.1819  0.9737  0.6810 [2 per cell]  6 Pd 2.88-3.11
Pb  0.2655  0.5597  0.3235 [2 per cell]  7 Pd 2.92-2.97
Pb  0.3750  0.0835  0.4307 [2 per cell]  6 Pd 2.87-3.07
Pb  0.3846  0.6771  0.0731 [2 per cell]  7 Pd 2.89-2.98
Pb  0.4935  0.2040  0.1768 [2 per cell]  7 Pd 2.89-2.97

Record 3
DFT (PBE-GGA) results for a relaxed structure of Pd4Pb.

## Properties
polymorph energy (0 for the lowest one): 26 meV/atom
energy of formation: -0.159 eV per atom
crystal system: orthorhombic

Cell: 4.3550 5.6528 13.9567 Å, 90.00 90.00 90.00°
With the nearest neighbours (Å) after each atom.
Space group Imma (No. 74)
Inequivalent atoms, fractional coordinates:
Pd  0.0000  0.0000  0.0000 [4 per cell]  8 Pd 2.72-2.97, 4 Pb 2.99
Pd  0.0000  0.0084  0.1951 [8 per cell]  7 Pd 2.66-2.92, 2 Pb 2.90
Pd  0.0000  0.2500  0.3963 [4 per cell]  3 Pb 2.83-2.94, 10 Pd 2.87-3.12
Pb  0.0000  0.2500  0.6068 [4 per cell]  13 Pd 2.83-3.13